Record 1
## LiNdTm (PBE)

Data for a relaxed LiNdTm crystal.

Summary:
Raw total energy ... -3.63 eV/atom
Formation enthalpy at 0 K ... 84.9 meV/atom
Distance to the lowest polymorph of the same formula ... 0.0 kJ/mol of atoms

```
LiNdTm
1.0
3.703 0.000 0.000
0.000 3.703 0.000
-1.851 -1.851 6.162
Tm Nd Li
1 1 1
direct
0.017 0.017 0.033 Tm
0.322 0.322 0.644 Nd
0.661 0.661 0.322 Li
```

***

Record 2
## TaH2F (PBE)

Data for a relaxed TaH2F crystal.

Summary:
Raw total energy ... -5.19 eV/atom
Distance to the lowest polymorph of the same formula ... 53.9 kJ/mol of atoms

```
TaH2F
1.0
0.000 2.503 2.503
2.503 0.000 2.503
2.503 2.503 0.000
H F Ta
2 1 1
direct
0.250 0.250 0.250 H
0.750 0.750 0.750 H
0.000 0.000 0.000 F
0.500 0.500 0.500 Ta
```

***

Record 3
## Zn2Pd9Pt (PBE)

Data for a relaxed Zn2Pd9Pt crystal.

Summary:
Raw total energy ... -4.83 eV/atom
Formation enthalpy at 0 K ... -216.8 meV/atom

```
Zn2Pd9Pt
1.0
3.918 0.000 0.000
0.000 3.918 0.000
0.000 0.000 11.816
Zn Pd Pt
2 9 1
direct
0.000 0.000 0.336 Zn
0.000 0.000 0.664 Zn
0.500 0.500 0.000 Pd
0.500 0.500 0.335 Pd
0.500 0.500 0.665 Pd
0.500 0.000 0.171 Pd
0.500 0.000 0.500 Pd
0.500 0.000 0.829 Pd
0.000 0.500 0.171 Pd
0.000 0.500 0.500 Pd
0.000 0.500 0.829 Pd
0.000 0.000 0.000 Pt
```

***

Record 4
## V3ReP (PBE)

Data for a relaxed V3ReP crystal.

Summary:
Raw total energy ... -8.58 eV/atom
Formation enthalpy at 0 K ... 458.3 meV/atom
Distance to the lowest polymorph of the same formula ... 0.0 kJ/mol of atoms

```
V3ReP
1.0
-1.757 2.492 2.951
-2.159 -3.322 1.520
3.203 -0.872 2.644
Re V P
1 3 1
direct
0.500 0.500 0.500 Re
0.000 0.500 0.000 V
0.000 0.000 0.500 V
0.500 0.000 0.000 V
0.000 0.000 0.000 P
```